Record 1
Tb2TmPb3: optimized geometry, GGA-PBE.

a b c (Å): 6.3940 6.3989 9.0395
angles (deg): 110.73 100.14 90.00
Closest atoms and distances in Å follow each position.
Sites, in units of the cell vectors:
Tb (0.5856, 0.5408, 0.3335)  6 Pb 3.19-3.56, 1 Tm 3.57
Tb (0.0856, 0.7927, 0.3335)  6 Pb 3.19-3.56, 1 Tm 3.57
Tb (0.9144, 0.2073, 0.6665)  6 Pb 3.19-3.56, 1 Tm 3.57
Tb (0.4144, 0.4592, 0.6665)  6 Pb 3.19-3.56, 1 Tm 3.57
Tm (0.7500, 0.1229, 0.0000)  6 Pb 3.18-3.55
Tm (0.2500, 0.8771, 0.0000)  6 Pb 3.18-3.55
Pb (0.2500, 0.3769, 0.0000)  2 Tm 3.20, 4 Tb 3.21-3.56, 4 Pb 3.56
Pb (0.7500, 0.6231, 0.0000)  2 Tm 3.20, 4 Tb 3.21-3.56, 4 Pb 3.56
Pb (0.0820, 0.2904, 0.3308)  2 Tm 3.18-3.55, 4 Tb 3.19-3.56
Pb (0.4180, 0.9596, 0.6692)  2 Tm 3.18-3.55, 4 Tb 3.19-3.56
Pb (0.5820, 0.0404, 0.3308)  2 Tm 3.18-3.55, 4 Tb 3.19-3.56
Pb (0.9180, 0.7096, 0.6692)  2 Tm 3.18-3.55, 4 Tb 3.19-3.56

Calculated values
The density of states at the Fermi level comes out at 0.44 states/eV per atom. As for the formation enthalpy at 0 K: -0.489 eV/atom. The calculation puts the excess energy over the best structure of this formula in the dataset at 0.0 meV/atom.


Record 2
Dy4Ni2Sb: optimized geometry, GGA-PBE.

a b c (Å): 7.7194 7.7208 7.6217
angles (deg): 108.09 108.08 112.78
Closest atoms and distances in Å follow each position.
Sites, in units of the cell vectors:
Dy (0.9755, 0.2446, 0.3816)  2 Ni 2.62-2.91
Dy (0.3956, 0.5060, 0.2412)  2 Ni 2.63-2.94
Dy (0.8627, 0.5935, 0.6182)  2 Ni 2.62-2.91
Dy (0.7557, 0.1455, 0.7417)  2 Ni 2.63-2.94
Dy (0.4043, 0.0148, 0.2588)  2 Ni 2.63-2.94
Dy (0.2640, 0.1538, 0.7583)  2 Ni 2.63-2.94
Dy (0.4945, 0.7254, 0.8819)  2 Ni 2.62-2.91
Dy (0.8438, 0.6130, 0.1185)  2 Ni 2.62-2.91
Ni (0.5330, 0.3737, 0.6559)  3 Dy 2.62-2.91
Ni (0.7184, 0.8777, 0.3448)  3 Dy 2.62-2.91
Ni (0.6236, 0.2827, 0.1551)  3 Dy 2.62-2.91
Ni (0.1272, 0.4678, 0.8442)  3 Dy 2.62-2.91
Sb (0.2508, 0.7507, 0.5000)  8 Dy 3.05-3.29
Sb (0.0008, 0.0007, 0.0000)  8 Dy 3.05-3.29

Calculated values
The density of states at the Fermi level comes out at 1.01 states/eV per atom. The uncorrected formation energy comes out at -458.0 meV per atom.